[1]
A plane-wave DFT calculation with PBE was carried out for a relaxed structure of LiLa4Y.

```
LiLa4Y
1.0
0.000 4.784 4.784
4.784 0.000 4.784
4.784 4.784 0.000
Li La Y
1 4 1
Cartesian
7.177 7.177 7.177
3.560 6.009 6.009
6.009 6.009 3.560
6.009 3.560 6.009
3.560 3.560 3.560
0.000 0.000 0.000
```

Output
- total energy (eV for the cell shown) = -26.1
- total magnetic moment (μB per formula unit) = 0.00
- relative energy among the computed polymorphs (meV/atom) = 293
- Fermi-level density of states (states/eV per cell) = 11.03
- formation enthalpy at 0 K (eV per atom) = 0.3351

[2]
A plane-wave DFT calculation with PBE was carried out for a relaxed structure of LiMg5Pb4.

```
LiMg5Pb4
1.0
3.538 0.000 0.000
0.000 3.538 0.000
0.000 0.000 19.922
Li Mg Pb
1 5 4
Cartesian
0.000 0.000 0.000
1.769 1.769 1.601
1.769 1.769 5.737
1.769 1.769 9.961
1.769 1.769 14.185
1.769 1.769 18.322
0.000 0.000 3.613
0.000 0.000 7.831
0.000 0.000 12.091
0.000 0.000 16.310
```

Output
- total energy (eV for the cell shown) = -25.4
- total magnetic moment (μB per formula unit) = 0.00
- Fermi-level density of states (states/eV per cell) = 4.38
- formation enthalpy at 0 K (eV per atom) = -0.0645

[3]
A plane-wave DFT calculation with PBE was carried out for a relaxed structure of CeUAs2.

```
CeUAs2
1.0
-3.530 2.358 0.882
-2.264 -2.699 -1.847
-0.189 -4.349 10.870
Ce U As
2 2 4
Cartesian
-2.041 -4.407 8.941
-3.943 -0.284 0.964
-1.377 -1.543 3.942
-4.606 -3.148 5.962
-4.277 -1.728 3.484
-1.706 -2.963 6.421
-4.942 -4.597 8.492
-1.041 -0.094 1.413
```

Output
- total energy (eV for the cell shown) = -60.7
- total magnetic moment (μB per formula unit) = 3.34
- relative energy among the computed polymorphs (meV/atom) = 112
- Fermi-level density of states (states/eV per cell) = 22.16
- formation enthalpy at 0 K (eV per atom) = -0.9571

[4]
A plane-wave DFT calculation with PBE was carried out for a relaxed structure of InCuAg2F6.

```
InCuAg2F6
1.0
5.971 0.000 0.005
0.000 6.138 0.000
0.063 0.000 7.967
In Cu Ag F
2 2 4 12
Cartesian
3.017 0.000 3.986
0.000 3.069 0.000
2.986 0.000 0.002
0.032 3.069 3.983
0.107 5.795 1.992
3.125 3.412 5.978
5.927 0.343 5.979
2.910 2.726 1.993
1.758 4.200 0.392
4.775 5.007 4.378
4.277 1.938 7.579
1.260 1.131 3.594
1.944 4.352 3.588
4.961 4.855 7.574
4.091 1.786 4.383
1.073 1.283 0.397
5.387 3.246 2.080
2.433 5.961 6.061
0.647 2.892 5.891
3.601 0.177 1.910
```

Output
- total energy (eV for the cell shown) = -79.2
- total magnetic moment (μB per formula unit) = 0.17
- Fermi-level density of states (states/eV per cell) = 5.00
- raw formation energy (eV/atom) = -1.58

[5]
A plane-wave DFT calculation with PBE was carried out for a relaxed structure of Ru3Pt2Rh3.

```
Ru3Pt2Rh3
1.0
2.702 0.000 0.000
0.000 6.224 -2.526
0.000 0.921 6.654
Ru Pt Rh
3 2 3
Cartesian
0.000 0.978 5.174
0.000 4.971 -1.737
0.000 1.248 0.721
0.000 3.958 0.700
0.000 2.583 3.079
1.351 6.402 0.314
1.351 3.470 5.389
1.351 4.971 2.872
```

Output
- total energy (eV for the cell shown) = -60.9
- total magnetic moment (μB per formula unit) = 0.00
- Fermi-level density of states (states/eV per cell) = 8.61
- formation enthalpy at 0 K (eV per atom) = 0.1296

[6]
A plane-wave DFT calculation with PBE was carried out for a relaxed structure of Rb6ScBr8.

```
Rb6ScBr8
1.0
-3.995 -4.021 7.933
1.036 -9.549 1.673
5.688 -3.082 7.293
Rb Sc Br
6 1 8
Cartesian
3.362 -6.316 4.483
-1.997 -2.010 3.966
-1.479 -6.785 4.803
2.844 -1.541 3.647
0.518 -4.774 0.836
0.847 -3.552 7.613
0.000 0.000 0.000
2.047 -12.489 12.674
0.682 -4.163 4.225
-1.795 -5.788 8.145
4.524 -10.864 8.754
3.914 -5.235 7.768
-1.184 -11.417 9.131
1.559 -7.605 12.444
1.171 -9.047 4.455
```

Output
- total energy (eV for the cell shown) = -50.6
- total magnetic moment (μB per formula unit) = 0.95
- Fermi-level density of states (states/eV per cell) = 8.27
- raw formation energy (eV/atom) = -1.67

Which of these has the lowest total energy? InCuAg2F6

total energy of number 4 (InCuAg2F6)? -79.2 eV for the cell shown

Repeat the third record exactly.
A plane-wave DFT calculation with PBE was carried out for a relaxed structure of CeUAs2.

```
CeUAs2
1.0
-3.530 2.358 0.882
-2.264 -2.699 -1.847
-0.189 -4.349 10.870
Ce U As
2 2 4
Cartesian
-2.041 -4.407 8.941
-3.943 -0.284 0.964
-1.377 -1.543 3.942
-4.606 -3.148 5.962
-4.277 -1.728 3.484
-1.706 -2.963 6.421
-4.942 -4.597 8.492
-1.041 -0.094 1.413
```

Output
- total energy (eV for the cell shown) = -60.7
- total magnetic moment (μB per formula unit) = 3.34
- relative energy among the computed polymorphs (meV/atom) = 112
- Fermi-level density of states (states/eV per cell) = 22.16
- formation enthalpy at 0 K (eV per atom) = -0.9571